[1]
Crystalline NbVSn2 at its relaxed geometry. Source: Alexandria via LeMat-Bulk, functional PBE.

V   19.456 Å³ per atom
Formation energy   0.20 eV/atom
Theoretical density   8.135 g/cm3
Crystal system   cubic
Final energy   -6.597 eV/atom

The structure in POSCAR format:
```
NbVSn2
1.0
1.296 0.026 4.614
-3.283 -0.723 3.415
0.011 -4.083 2.509
Nb Sn V
1 2 1
Direct
0.500 0.500 0.500
0.250 0.250 0.250
0.750 0.750 0.750
0.000 0.000 0.000
```



[2]
Crystalline NbVSn3 at its relaxed geometry. Source: Alexandria via LeMat-Bulk, functional PBE.

V   26.204 Å³ per atom
Formation energy   0.88 eV/atom
Theoretical density   6.337 g/cm3
Crystal system   cubic
Final energy   -5.358 eV/atom

The structure in POSCAR format:
```
NbVSn3
1.0
5.079 0.000 0.000
0.000 5.079 0.000
0.000 0.000 5.079
Nb Sn V
1 3 1
Direct
0.500 0.500 0.500
0.000 0.500 0.000
0.000 0.000 0.500
0.500 0.000 0.000
0.000 0.000 0.000
```



[3]
Crystalline NbV2Sn at its relaxed geometry. Source: Alexandria via LeMat-Bulk, functional PBE.

V   17.564 Å³ per atom
Formation energy   0.28 eV/atom
Theoretical density   7.410 g/cm3
Crystal system   trigonal
Final energy   -7.792 eV/atom

The structure in POSCAR format:
```
NbV2Sn
1.0
3.099 0.000 0.000
1.550 2.684 0.000
1.550 0.895 8.445
Nb Sn V
1 1 2
Direct
0.000 0.000 0.000
0.500 0.500 0.500
0.256 0.256 0.232
0.744 0.744 0.768
```



Result set for size of the total moment: 0.4, 3.2, 0.0 μB per cell, one per record in the order listed.